1.
# CeY4Rh5, relaxed, DFT PBE-GGA
# Space group: P4/mmm
# DOS at the Fermi energy: 8.2 states/eV per cell
# Formation energy from the elements: -0.804 eV per atom
# E: -7.659 eV/atom
data_CeY4Rh5
_cell_length_a 3.432
_cell_length_b 3.432
_cell_length_c 17.423
_cell_angle_alpha 90.00
_cell_angle_beta 90.00
_cell_angle_gamma 90.00
_space_group_name_H-M_alt 'P 1'
_space_group_IT_number 1
loop_
_space_group_symop_operation_xyz
'x,y,z'
loop_
_atom_site_label
_atom_site_type_symbol
_atom_site_fract_x
_atom_site_fract_y
_atom_site_fract_z
Ce1 Ce 0.000 0.000 0.000
Rh1 Rh 0.500 0.500 0.500
Rh2 Rh 0.500 0.500 0.700
Rh3 Rh 0.500 0.500 0.097
Rh4 Rh 0.500 0.500 0.903
Rh5 Rh 0.500 0.500 0.300
Y1 Y 0.000 0.000 0.799
Y2 Y 0.000 0.000 0.400
Y3 Y 0.000 0.000 0.201
Y4 Y 0.000 0.000 0.600

---

2.
# Ho2ScZn2In2, relaxed, DFT PBE-GGA
# Space group: R-3m
# DOS at the Fermi energy: 3.2 states/eV per cell
# Formation energy from the elements: -0.234 eV per atom
# E: -3.593 eV/atom
data_Ho2ScZn2In2
_cell_length_a 4.650
_cell_length_b 4.650
_cell_length_c 9.200
_cell_angle_alpha 75.36
_cell_angle_beta 75.36
_cell_angle_gamma 60.00
_space_group_name_H-M_alt 'P 1'
_space_group_IT_number 1
loop_
_space_group_symop_operation_xyz
'x,y,z'
loop_
_atom_site_label
_atom_site_type_symbol
_atom_site_fract_x
_atom_site_fract_y
_atom_site_fract_z
In1 In 0.734 0.734 0.798
In2 In 0.266 0.266 0.202
Zn1 Zn 0.611 0.611 0.166
Zn2 Zn 0.389 0.389 0.834
Sc1 Sc 0.000 0.000 0.000
Ho1 Ho 0.874 0.874 0.378
Ho2 Ho 0.126 0.126 0.622

---

3.
# AcSi2Rh4, relaxed, DFT PBE-GGA
# Uncorrected formation energy: -0.761 eV per atom
# Space group: Pnma
# DOS at the Fermi energy: 8.9 states/eV per cell
# E: -7.098 eV/atom
data_AcSi2Rh4
_cell_length_a 3.998
_cell_length_b 6.706
_cell_length_c 18.024
_cell_angle_alpha 90.00
_cell_angle_beta 90.00
_cell_angle_gamma 90.00
_space_group_name_H-M_alt 'P 1'
_space_group_IT_number 1
loop_
_space_group_symop_operation_xyz
'x,y,z'
loop_
_atom_site_label
_atom_site_type_symbol
_atom_site_fract_x
_atom_site_fract_y
_atom_site_fract_z
Rh1 Rh 0.750 0.518 0.565
Rh2 Rh 0.250 0.135 0.524
Rh3 Rh 0.750 0.172 0.832
Rh4 Rh 0.750 0.783 0.779
Rh5 Rh 0.250 0.482 0.435
Rh6 Rh 0.750 0.328 0.332
Rh7 Rh 0.750 0.635 0.976
Rh8 Rh 0.250 0.828 0.168
Rh9 Rh 0.250 0.018 0.935
Rh10 Rh 0.750 0.865 0.476
Rh11 Rh 0.750 0.717 0.279
Rh12 Rh 0.250 0.217 0.221
Rh13 Rh 0.250 0.365 0.024
Rh14 Rh 0.750 0.982 0.065
Rh15 Rh 0.250 0.283 0.721
Rh16 Rh 0.250 0.672 0.668
Si1 Si 0.750 0.227 0.966
Si2 Si 0.750 0.273 0.466
Si3 Si 0.250 0.727 0.534
Si4 Si 0.750 0.487 0.701
Si5 Si 0.250 0.773 0.034
Si6 Si 0.250 0.513 0.299
Si7 Si 0.250 0.987 0.799
Si8 Si 0.750 0.013 0.201
Ac1 Ac 0.750 0.479 0.140
Ac2 Ac 0.750 0.021 0.640
Ac3 Ac 0.250 0.521 0.860
Ac4 Ac 0.250 0.979 0.360

---

4.
# Ac2HoSnPt6, relaxed, DFT PBE-GGA
# Space group: Fm-3m
# DOS at the Fermi energy: 5.2 states/eV per cell
# Formation energy from the elements: -0.313 eV per atom
# E: -5.617 eV/atom
data_Ac2HoSnPt6
_cell_length_a 7.191
_cell_length_b 7.191
_cell_length_c 7.191
_cell_angle_alpha 60.00
_cell_angle_beta 60.00
_cell_angle_gamma 90.00
_space_group_name_H-M_alt 'P 1'
_space_group_IT_number 1
loop_
_space_group_symop_operation_xyz
'x,y,z'
loop_
_atom_site_label
_atom_site_type_symbol
_atom_site_fract_x
_atom_site_fract_y
_atom_site_fract_z
Ho1 Ho 0.500 0.500 0.000
Pt1 Pt 0.753 0.753 0.000
Pt2 Pt 0.247 0.247 0.506
Pt3 Pt 0.247 0.247 0.000
Pt4 Pt 0.247 0.753 0.000
Pt5 Pt 0.753 0.753 0.494
Pt6 Pt 0.753 0.247 0.000
Sn1 Sn 0.000 0.000 0.000
Ac1 Ac 0.250 0.750 0.500
Ac2 Ac 0.750 0.250 0.500

---

5.
# SmSc2Fe, relaxed, DFT PBE-GGA
# Space group: R-3m
# DOS at the Fermi energy: 4.4 states/eV per cell
# Formation energy from the elements: 0.149 eV per atom
# E: -6.312 eV/atom
# ΔE to the lowest computed polymorph: 73 kJ/mol of formula units
data_SmSc2Fe
_cell_length_a 3.354
_cell_length_b 3.354
_cell_length_c 9.616
_cell_angle_alpha 79.95
_cell_angle_beta 79.95
_cell_angle_gamma 60.00
_space_group_name_H-M_alt 'P 1'
_space_group_IT_number 1
loop_
_space_group_symop_operation_xyz
'x,y,z'
loop_
_atom_site_label
_atom_site_type_symbol
_atom_site_fract_x
_atom_site_fract_y
_atom_site_fract_z
Fe1 Fe 0.000 0.000 0.000
Sc1 Sc 0.728 0.728 0.816
Sc2 Sc 0.272 0.272 0.184
Sm1 Sm 0.500 0.500 0.500

---

6.
# NaHg7Pb3, relaxed, DFT PBE-GGA
# Space group: Cmcm
# DOS at the Fermi energy: 6.9 states/eV per cell
# Formation energy from the elements: -0.005 eV per atom
# E: -1.328 eV/atom
data_NaHg7Pb3
_cell_length_a 11.262
_cell_length_b 11.262
_cell_length_c 12.120
_cell_angle_alpha 90.00
_cell_angle_beta 90.00
_cell_angle_gamma 155.39
_space_group_name_H-M_alt 'P 1'
_space_group_IT_number 1
loop_
_space_group_symop_operation_xyz
'x,y,z'
loop_
_atom_site_label
_atom_site_type_symbol
_atom_site_fract_x
_atom_site_fract_y
_atom_site_fract_z
Hg1 Hg 0.663 0.337 0.750
Hg2 Hg 0.246 0.754 0.589
Hg3 Hg 0.337 0.663 0.250
Hg4 Hg 0.471 0.529 0.381
Hg5 Hg 0.614 0.386 0.374
Hg6 Hg 0.754 0.246 0.089
Hg7 Hg 0.754 0.246 0.411
Hg8 Hg 0.614 0.386 0.126
Hg9 Hg 0.471 0.529 0.119
Hg10 Hg 0.246 0.754 0.911
Hg11 Hg 0.386 0.614 0.874
Hg12 Hg 0.386 0.614 0.626
Hg13 Hg 0.529 0.471 0.881
Hg14 Hg 0.529 0.471 0.619
Na1 Na 0.970 0.030 0.750
Na2 Na 0.030 0.970 0.250
Pb1 Pb 0.111 0.889 0.531
Pb2 Pb 0.889 0.111 0.031
Pb3 Pb 0.889 0.111 0.469
Pb4 Pb 0.188 0.812 0.250
Pb5 Pb 0.812 0.188 0.750
Pb6 Pb 0.111 0.889 0.969

---

Question: Look up the E of the first one.
Answer: -7.659 eV/atom

---

Question: Which of these has the lowest DOS at the Fermi energy?
Answer: Ho2ScZn2In2